Record 1
## NaCa (PBE-GGA)

Data for a geometry-optimized NaCa structure.

## Properties
relative energy among the computed polymorphs	53.0	kJ/mol of atoms
DOS at the Fermi energy	1.76	states/eV/f.u.
energy of formation from the pure elements	584	meV/atom
symmetry	No. 217

```
NaCa
1.0
-5.657 5.657 5.657
5.657 -5.657 5.657
5.657 5.657 -5.657
Na Ca
4 4
Direct
0.000 0.000 0.605
0.000 0.605 0.000
0.395 0.395 0.395
0.605 0.000 0.000
0.000 0.000 0.233
0.000 0.233 0.000
0.233 0.000 0.000
0.767 0.767 0.767
```

=====

Record 2
## NaCa2Nb (PBE-GGA)

Data for a geometry-optimized NaCa2Nb structure.

## Properties
relative energy among the computed polymorphs	0.0	kJ/mol of atoms
DOS at the Fermi energy	2.41	states/eV/f.u.
energy of formation from the pure elements	662	meV/atom
symmetry	No. 225

```
NaCa2Nb
1.0
0.000 3.977 3.977
3.977 0.000 3.977
3.977 3.977 0.000
Na Ca Nb
1 2 1
Direct
0.000 0.000 0.000
0.250 0.250 0.250
0.750 0.750 0.750
0.500 0.500 0.500
```